No. 1
Compound: Mg2MnSnO
Source: Alexandria via LeMat-Bulk
Functional: PBE with a Hubbard U
Structure: relaxed

Calculated values
The value obtained for the polymorph energy (0 for the lowest one) is 106.47 kJ/mol of atoms. The symmetry is P4/mmm, No. 123.

Unit cell a=5.751 b=4.164 c=5.751 alpha=90.00 beta=90.00 gamma=90.00
Fractional positions:
Mg: 0.000 0.000 0.500
Mg: 0.500 0.000 0.000
Mn: 0.500 0.500 0.500
Sn: 0.000 0.000 0.000
O: 0.000 0.500 0.000

No. 2
Compound: Mg2MnSnO
Source: Alexandria via LeMat-Bulk
Functional: PBE with a Hubbard U
Structure: relaxed

Calculated values
The value obtained for the polymorph energy (0 for the lowest one) is 0.00 kJ/mol of atoms. The symmetry is P4/mmm, No. 123.

Unit cell a=4.313 b=4.592 c=4.313 alpha=90.00 beta=90.00 gamma=90.00
Fractional positions:
Mg: 0.000 0.000 0.500
Mg: 0.500 0.000 0.000
Mn: 0.000 0.500 0.000
Sn: 0.500 0.500 0.500
O: 0.000 0.000 0.000

No. 3
Compound: MgMnSnO4
Source: Alexandria via LeMat-Bulk
Functional: PBE with a Hubbard U
Structure: relaxed

Calculated values
The calculation puts the total energy at -6.648 eV/atom. The symmetry is Imma, No. 74.

Unit cell a=6.209 b=6.305 c=6.365 alpha=120.31 beta=90.00 gamma=119.49
Fractional positions:
Mg: 0.860 0.719 0.110
Mg: 0.140 0.281 0.890
Mn: 0.500 0.500 0.500
Mn: 0.000 0.500 0.500
Sn: 0.500 0.000 0.500
Sn: 0.500 0.000 0.000
O: 0.730 0.461 0.721
O: 0.266 0.997 0.248
O: 0.731 0.997 0.248
O: 0.730 0.461 0.240
O: 0.270 0.539 0.760
O: 0.734 0.003 0.752
O: 0.269 0.003 0.752
O: 0.270 0.539 0.279

No. 4
Compound: SrMg30MnO32
Source: Alexandria via LeMat-Bulk
Functional: PBE with a Hubbard U
Structure: relaxed

Calculated values
The calculation puts the total energy at -6.002 eV/atom. The symmetry is P4/mmm, No. 123.

Unit cell a=8.620 b=8.615 c=8.615 alpha=90.00 beta=90.00 gamma=90.00
Fractional positions:
Sr: 0.500 0.000 0.000
Mg: 0.000 0.500 0.000
Mg: 0.500 0.500 0.000
Mg: 0.000 0.000 0.500
Mg: 0.500 0.000 0.500
Mg: 0.000 0.500 0.500
Mg: 0.500 0.500 0.500
Mg: 0.246 0.257 0.000
Mg: 0.754 0.257 0.000
Mg: 0.246 0.743 0.000
Mg: 0.754 0.743 0.000
Mg: 0.249 0.251 0.500
Mg: 0.751 0.251 0.500
Mg: 0.249 0.749 0.500
Mg: 0.751 0.749 0.500
Mg: 0.246 0.000 0.257
Mg: 0.754 0.000 0.257
Mg: 0.249 0.500 0.251
Mg: 0.751 0.500 0.251
Mg: 0.246 0.000 0.743
Mg: 0.754 0.000 0.743
Mg: 0.249 0.500 0.749
Mg: 0.751 0.500 0.749
Mg: 0.000 0.251 0.251
Mg: 0.500 0.255 0.255
Mg: 0.000 0.749 0.251
Mg: 0.500 0.745 0.255
Mg: 0.000 0.251 0.749
Mg: 0.500 0.255 0.745
Mg: 0.000 0.749 0.749
Mg: 0.500 0.745 0.745
Mn: 0.000 0.000 0.000
O: 0.000 0.000 0.261
O: 0.500 0.000 0.270
O: 0.000 0.500 0.252
O: 0.500 0.500 0.254
O: 0.000 0.000 0.739
O: 0.500 0.000 0.730
O: 0.000 0.500 0.748
O: 0.500 0.500 0.746
O: 0.250 0.250 0.250
O: 0.750 0.250 0.250
O: 0.250 0.750 0.250
O: 0.750 0.750 0.250
O: 0.250 0.250 0.750
O: 0.750 0.250 0.750
O: 0.250 0.750 0.750
O: 0.750 0.750 0.750
O: 0.235 0.000 0.000
O: 0.765 0.000 0.000
O: 0.247 0.500 0.000
O: 0.753 0.500 0.000
O: 0.247 0.000 0.500
O: 0.753 0.000 0.500
O: 0.249 0.500 0.500
O: 0.751 0.500 0.500
O: 0.000 0.261 0.000
O: 0.500 0.270 0.000
O: 0.000 0.739 0.000
O: 0.500 0.730 0.000
O: 0.000 0.252 0.500
O: 0.500 0.254 0.500
O: 0.000 0.748 0.500
O: 0.500 0.746 0.500

> What is the formula in the first record?

Mg2MnSnO